Density functional theory data (PBE-GGA) for a relaxed structure of PuHf2C.

DFT total energy ... -11.092 eV per atom
D(E_F) ... 8.57 states/eV per cell
Size of the total moment ... 5.64 μB per cell

The structure in POSCAR format:
```
PuHf2C
1.0
1.621 0.936 8.902
-1.621 0.936 8.902
0.000 -1.871 8.902
Pu Hf C
1 2 1
direct
0.000 0.000 0.000
0.120 0.120 0.120
0.880 0.880 0.880
0.500 0.500 0.500
```